1.
The following is a DFT calculation (PBE) of a geometry-optimized AcSn4Rh structure.

Formation energy = -50.7 kJ per mole of atoms
Crystal system = orthorhombic
Relative energy among the computed polymorphs = 0.000 eV/f.u.

a = 4.6005 Å, b = 7.2594 Å, c = 9.5782 Å
α = 90.00°, β = 103.90°, γ = 90.00°
Atoms (fractional coordinates):
Ac  0.1159  0.2500  0.2318
Ac  0.8841  0.7500  0.7682
Sn  0.5000  0.5000  0.0000
Sn  0.5000  0.0000  0.0000
Sn  0.6916  0.9621  0.3833
Sn  0.3084  0.0379  0.6167
Sn  0.3084  0.4621  0.6167
Sn  0.6916  0.5379  0.3833
Sn  0.0691  0.7500  0.1383
Sn  0.9309  0.2500  0.8617
Rh  0.2103  0.7500  0.4205
Rh  0.7897  0.2500  0.5795

***

2.
The following is a DFT calculation (PBE) of a geometry-optimized Ac2Sn5Rh3 structure.

Formation energy = -65.6 kJ per mole of atoms
Crystal system = orthorhombic
Relative energy among the computed polymorphs = 0.293 eV/f.u.

a = 4.6391 Å, b = 7.4788 Å, c = 13.8148 Å
α = 90.00°, β = 99.67°, γ = 90.00°
Atoms (fractional coordinates):
Ac  0.4739  0.7651  0.9478
Ac  0.1730  0.7234  0.3460
Ac  0.8270  0.2234  0.6540
Ac  0.5261  0.2651  0.0522
Sn  0.4040  0.3846  0.8081
Sn  0.2894  0.5121  0.5787
Sn  0.7106  0.0121  0.4213
Sn  0.1245  0.2547  0.2491
Sn  0.2941  0.9187  0.5881
Sn  0.9496  0.1009  0.8992
Sn  0.7059  0.4187  0.4119
Sn  0.8755  0.7547  0.7509
Sn  0.0504  0.6009  0.1008
Sn  0.5960  0.8846  0.1919
Rh  0.7755  0.7136  0.5511
Rh  0.6076  0.5125  0.2152
Rh  0.0520  0.9792  0.1040
Rh  0.2245  0.2136  0.4489
Rh  0.9480  0.4792  0.8960
Rh  0.3924  0.0125  0.7848

***

3.
The following is a DFT calculation (PBE) of a geometry-optimized Ac3Sn3Rh2 structure.

Formation energy = -71.4 kJ per mole of atoms
Crystal system = orthorhombic

a = 4.6645 Å, b = 6.3164 Å, c = 16.3927 Å
α = 90.00°, β = 90.00°, γ = 111.67°
Atoms (fractional coordinates):
Ac  0.9336  0.8671  0.3917
Ac  0.0664  0.1329  0.8917
Ac  0.9336  0.8671  0.1083
Ac  0.0664  0.1329  0.6083
Ac  0.6533  0.3065  0.2500
Ac  0.3467  0.6935  0.7500
Sn  0.6515  0.3030  0.4654
Sn  0.3485  0.6970  0.9654
Sn  0.6515  0.3030  0.0346
Sn  0.3485  0.6970  0.5346
Sn  0.3567  0.7134  0.2500
Sn  0.6433  0.2866  0.7500
Rh  0.7852  0.5703  0.8902
Rh  0.2148  0.4297  0.3902
Rh  0.7852  0.5703  0.6098
Rh  0.2148  0.4297  0.1098

***

4.
The following is a DFT calculation (PBE) of a geometry-optimized Ac7SnRh2 structure.

Formation energy = -27.4 kJ per mole of atoms
Crystal system = orthorhombic

a = 5.5025 Å, b = 8.9119 Å, c = 8.9119 Å
α = 110.10°, β = 90.00°, γ = 90.00°
Atoms (fractional coordinates):
Ac  0.0000  0.7023  0.2977
Ac  0.0000  0.2977  0.7023
Ac  0.5000  0.0522  0.3096
Ac  0.5000  0.9478  0.6904
Ac  0.5000  0.3096  0.0522
Ac  0.5000  0.6904  0.9478
Ac  0.5000  0.5000  0.5000
Sn  0.0000  0.0000  0.0000
Rh  0.5000  0.7027  0.2973
Rh  0.5000  0.2973  0.7027

***

5.
The following is a DFT calculation (PBE) of a geometry-optimized Ac8Sn3Rh structure.

Formation energy = -35.8 kJ per mole of atoms
Crystal system = tetragonal

a = 7.8231 Å, b = 7.8231 Å, c = 9.5901 Å
α = 114.07°, β = 114.07°, γ = 90.00°
Atoms (fractional coordinates):
Ac  0.3563  0.3563  0.2372
Ac  0.3563  0.8809  0.2372
Ac  0.1191  0.6437  0.7628
Ac  0.1191  0.1191  0.7628
Ac  0.8809  0.8809  0.2372
Ac  0.8809  0.3563  0.2372
Ac  0.6437  0.1191  0.7628
Ac  0.6437  0.6437  0.7628
Sn  0.7500  0.2500  0.5000
Sn  0.5000  0.5000  0.0000
Sn  0.2500  0.7500  0.5000
Rh  0.0000  0.0000  0.0000

***

6.
The following is a DFT calculation (PBE) of a geometry-optimized AcSn2Rh2 structure.

Formation energy = -54.7 kJ per mole of atoms
Crystal system = monoclinic
Relative energy among the computed polymorphs = 0.894 eV/f.u.

a = 6.8586 Å, b = 6.8586 Å, c = 5.7409 Å
α = 106.24°, β = 106.24°, γ = 92.37°
Atoms (fractional coordinates):
Ac  0.8485  0.6515  0.7500
Ac  0.1515  0.3485  0.2500
Sn  0.1770  0.8885  0.4185
Sn  0.3885  0.6770  0.9185
Sn  0.8230  0.1115  0.5815
Sn  0.6115  0.3230  0.0815
Rh  0.2146  0.2854  0.7500
Rh  0.4616  0.0384  0.2500
Rh  0.5384  0.9616  0.7500
Rh  0.7854  0.7146  0.2500